[1]
Below is an optimized crystal structure of Fe2CuPt, with properties calculated at the GGA-PBE level.

```
Fe2CuPt
1.0
4.5108 -0.0057 0.0000
1.3304 4.3101 0.0000
-2.9206 -2.1522 2.6805
Cu Pt Fe
1 1 2
direct
0.7500 0.2500 0.5000 Cu
0.5000 0.5000 0.0000 Pt
0.0000 0.0000 0.0000 Fe
0.2500 0.7500 0.5000 Fe
```

Calculated values
Calculated volume, Å³/cell: 52.1
ΔE_f, meV/atom: -53


[2]
Below is an optimized crystal structure of FeCu3Pt12, with properties calculated at the GGA-PBE level.

```
FeCu3Pt12
1.0
-2.7656 -0.1888 2.7467
2.3127 -2.2716 2.1725
5.9837 12.6886 6.8973
Fe Cu Pt
1 3 12
direct
0.0000 0.0000 0.0000 Fe
0.0000 0.0000 0.2505 Cu
0.0000 0.0000 0.5000 Cu
0.0000 0.0000 0.7495 Cu
0.5000 0.5000 0.0000 Pt
0.5000 0.5000 0.2500 Pt
0.5000 0.5000 0.5000 Pt
0.5000 0.5000 0.7500 Pt
0.5000 0.0000 0.1242 Pt
0.5000 0.0000 0.3750 Pt
0.5000 0.0000 0.6250 Pt
0.5000 0.0000 0.8758 Pt
0.0000 0.5000 0.1242 Pt
0.0000 0.5000 0.3750 Pt
0.0000 0.5000 0.6250 Pt
0.0000 0.5000 0.8758 Pt
```

Calculated values
Calculated volume, Å³/cell: 238.1
ΔE_f, meV/atom: -147


[3]
Below is an optimized crystal structure of FeCuPt, with properties calculated at the GGA-PBE level.

```
FeCuPt
1.0
-4.4261 -1.2599 0.0342
-1.3233 -3.8131 -2.1997
2.7551 1.7501 3.2448
Pt Cu Fe
1 1 1
direct
0.3326 0.3324 0.0000 Pt
0.0020 0.0021 0.0000 Cu
0.6654 0.6655 0.0000 Fe
```

Calculated values
Calculated volume, Å³/cell: 40.2
Polymorph energy (0 for the lowest one), eV/atom: 0.000
ΔE_f, meV/atom: -152


[4]
Below is an optimized crystal structure of FeCuPt6, with properties calculated at the GGA-PBE level.

```
FeCuPt6
1.0
-2.3207 0.9097 -3.0199
-3.1539 -0.6555 2.2263
0.0231 7.4553 2.2279
Fe Cu Pt
1 1 6
direct
0.0000 0.0000 0.0000 Fe
0.0000 0.0000 0.5000 Cu
0.5000 0.5000 0.0000 Pt
0.5000 0.5000 0.5000 Pt
0.5000 0.0000 0.2483 Pt
0.5000 0.0000 0.7517 Pt
0.0000 0.5000 0.2483 Pt
0.0000 0.5000 0.7517 Pt
```

Calculated values
Calculated volume, Å³/cell: 119.3
Polymorph energy (0 for the lowest one), eV/atom: 0.000
ΔE_f, meV/atom: -174


[5]
Below is an optimized crystal structure of Fe2CuPt, with properties calculated at the GGA-PBE level.

```
Fe2CuPt
1.0
-1.4043 -6.3148 -5.9155
-0.3092 -7.7937 -4.0007
-2.9114 -7.2658 -3.9464
Cu Fe Pt
1 2 1
direct
0.7500 0.7500 0.7500 Cu
0.0025 0.0025 0.0025 Fe
0.4975 0.4975 0.4975 Fe
0.2500 0.2500 0.2500 Pt
```

Calculated values
Calculated volume, Å³/cell: 52.7
ΔE_f, meV/atom: 26


[6]
Below is an optimized crystal structure of FeCu2Pt2, with properties calculated at the GGA-PBE level.

```
FeCu2Pt2
1.0
3.8182 0.0000 0.0000
1.9091 4.1596 -0.0277
1.9091 0.2348 4.3026
Fe Cu Pt
1 2 2
direct
0.0000 0.0000 0.0000 Fe
0.1964 0.1983 0.4089 Cu
0.8036 0.8017 0.5911 Cu
0.5939 0.6156 0.1966 Pt
0.4061 0.3844 0.8034 Pt
```

Calculated values
Calculated volume, Å³/cell: 68.4
Polymorph energy (0 for the lowest one), eV/atom: 0.000
ΔE_f, meV/atom: -147


[7]
Below is an optimized crystal structure of Fe6CuPt, with properties calculated at the GGA-PBE level.

```
Fe6CuPt
1.0
6.3689 -0.0022 0.0000
-2.1729 5.9868 0.0000
0.0000 0.0000 10.4618
Cu Fe Pt
4 24 4
direct
0.2471 0.7529 0.7500 Cu
0.7529 0.2471 0.7500 Cu
0.5000 0.5000 0.5028 Cu
0.5000 0.5000 0.9972 Cu
0.2531 0.7469 0.5055 Fe
0.8704 0.6157 0.6289 Fe
0.1296 0.3843 0.6289 Fe
0.7469 0.2531 0.5055 Fe
0.3843 0.1296 0.6289 Fe
0.6157 0.8704 0.6289 Fe
0.5000 0.5000 0.2500 Fe
0.1304 0.3773 0.3794 Fe
0.3773 0.1304 0.3794 Fe
0.2531 0.7469 0.9945 Fe
0.8696 0.6227 0.1206 Fe
0.1304 0.3773 0.1206 Fe
0.7469 0.2531 0.9945 Fe
0.3773 0.1304 0.1206 Fe
0.6227 0.8696 0.1206 Fe
0.5000 0.5000 0.7500 Fe
0.1296 0.3843 0.8711 Fe
0.3843 0.1296 0.8711 Fe
0.0000 0.0000 0.2500 Fe
0.6227 0.8696 0.3794 Fe
0.8696 0.6227 0.3794 Fe
0.0000 0.0000 0.7500 Fe
0.6157 0.8704 0.8711 Fe
0.8704 0.6157 0.8711 Fe
0.2493 0.7507 0.2500 Pt
0.7507 0.2493 0.2500 Pt
0.0000 0.0000 0.5047 Pt
0.0000 0.0000 0.9953 Pt
```

Calculated values
Calculated volume, Å³/cell: 398.8
ΔE_f, meV/atom: 20


[8]
Below is an optimized crystal structure of Fe2CuPt, with properties calculated at the GGA-PBE level.

```
Fe2CuPt
1.0
3.6777 0.0000 0.0000
0.0000 3.6799 0.0000
0.0000 0.0000 3.8568
Cu Pt Fe
1 1 2
direct
0.0000 0.5000 0.5000 Cu
0.5000 0.0000 0.5000 Pt
0.0000 0.0000 0.0000 Fe
0.5000 0.5000 0.0000 Fe
```

Calculated values
Calculated volume, Å³/cell: 52.2
ΔE_f, meV/atom: -100


[9]
Below is an optimized crystal structure of FeCu2Pt4, with properties calculated at the GGA-PBE level.

```
FeCu2Pt4
1.0
-3.1036 7.5475 2.5379
-8.4465 1.2706 0.2814
-3.9715 0.6708 7.5375
Pt Fe Cu
16 4 8
direct
0.0126 0.0126 0.4874 Pt
0.6250 0.1250 0.6250 Pt
0.2374 0.7626 0.7626 Pt
0.0126 0.4874 0.0126 Pt
0.4874 0.4874 0.0126 Pt
0.7626 0.2374 0.2374 Pt
0.2374 0.7626 0.2374 Pt
0.2374 0.2374 0.7626 Pt
0.4874 0.0126 0.0126 Pt
0.7626 0.7626 0.2374 Pt
0.6250 0.6250 0.1250 Pt
0.0126 0.4874 0.4874 Pt
0.4874 0.0126 0.4874 Pt
0.7626 0.2374 0.7626 Pt
0.6250 0.6250 0.6250 Pt
0.1250 0.6250 0.6250 Pt
0.6250 0.1250 0.1250 Fe
0.1250 0.6250 0.1250 Fe
0.1250 0.1250 0.1250 Fe
0.1250 0.1250 0.6250 Fe
0.3874 0.3874 0.8377 Cu
0.3874 0.8377 0.3874 Cu
0.3874 0.3874 0.3874 Cu
0.8626 0.8626 0.8626 Cu
0.8626 0.8626 0.4123 Cu
0.4123 0.8626 0.8626 Cu
0.8377 0.3874 0.3874 Cu
0.8626 0.4123 0.8626 Cu
```

Calculated values
Calculated volume, Å³/cell: 441.4
Polymorph energy (0 for the lowest one), eV/atom: 0.000
ΔE_f, meV/atom: 27


[10]
Below is an optimized crystal structure of FeCuPt, with properties calculated at the GGA-PBE level.

```
FeCuPt
1.0
-4.5550 3.0958 -1.5853
-4.7763 2.9592 1.1289
0.8661 2.5776 0.2002
Cu Pt Fe
1 1 1
direct
0.9947 0.9947 0.0053 Cu
0.6683 0.6683 0.3317 Pt
0.3370 0.3370 0.6630 Fe
```

Calculated values
Calculated volume, Å³/cell: 40.1
Polymorph energy (0 for the lowest one), eV/atom: 0.080
ΔE_f, meV/atom: -72


[11]
Below is an optimized crystal structure of Fe2CuPt, with properties calculated at the GGA-PBE level.

```
Fe2CuPt
1.0
4.6212 -0.0091 0.0100
3.8044 2.6235 0.0100
0.8598 0.2668 4.3220
Cu Fe Pt
1 2 1
direct
0.2500 0.2500 0.2500 Cu
0.9990 0.9990 0.0090 Fe
0.5010 0.5010 0.4910 Fe
0.7500 0.7500 0.7500 Pt
```

Calculated values
Calculated volume, Å³/cell: 52.5
ΔE_f, meV/atom: -13


[12]
Below is an optimized crystal structure of FeCu5Pt6, with properties calculated at the GGA-PBE level.

```
FeCu5Pt6
1.0
-1.6211 0.6779 -3.5161
6.0664 -2.2760 -3.2358
-4.3290 -4.6909 3.2886
Pt Fe Cu
6 1 5
direct
0.8337 0.5858 0.6673 Pt
0.8337 0.0815 0.6673 Pt
0.5000 0.7547 0.0000 Pt
0.5000 0.2453 0.0000 Pt
0.1663 0.9185 0.3327 Pt
0.1663 0.4142 0.3327 Pt
0.0000 0.0000 0.0000 Fe
0.6684 0.1684 0.3369 Cu
0.3347 0.3347 0.6694 Cu
0.0000 0.5000 0.0000 Cu
0.6653 0.6653 0.3306 Cu
0.3316 0.8316 0.6631 Cu
```

Calculated values
Calculated volume, Å³/cell: 167.4
ΔE_f, meV/atom: -180